Record 1
## NbFe2CuH (PBE-GGA)

Data for crystalline NbFe2CuH at its relaxed geometry.

Output
Offset from the most stable computed form   0.0125 eV per atom
D(E_F)   3.489 states/eV/f.u.

abc: 3.7376 3.7376 3.8711
angles: 90.00 90.00 90.00
Space group P4/mmm (No. 123)
Unique sites:
Nb (0.0000, 0.0000, 0.0000) (multiplicity 1)
Fe (0.0000, 0.5000, 0.5000) (multiplicity 2)
Cu (0.5000, 0.5000, 0.0000) (multiplicity 1)
H (0.0000, 0.0000, 0.5000) (multiplicity 1)

Record 2
## NbFe2CuH (PBE-GGA)

Data for crystalline NbFe2CuH at its relaxed geometry.

Output
Offset from the most stable computed form   0.0000 eV per atom
D(E_F)   2.771 states/eV/f.u.

abc: 3.8388 3.8388 3.5446
angles: 90.00 90.00 90.00
Space group P4/mmm (No. 123)
Unique sites:
Nb (0.0000, 0.0000, 0.0000) (multiplicity 1)
Fe (0.0000, 0.5000, 0.5000) (multiplicity 2)
Cu (0.5000, 0.5000, 0.0000) (multiplicity 1)
H (0.5000, 0.5000, 0.5000) (multiplicity 1)

Record 3
## FeCuNi2H (PBE-GGA)

Data for crystalline FeCuNi2H at its relaxed geometry.

Output
Offset from the most stable computed form   0.0469 eV per atom
D(E_F)   5.477 states/eV/f.u.

abc: 3.6464 3.6464 3.6321
angles: 90.00 90.00 90.00
Space group P4/mmm (No. 123)
Unique sites:
Fe (0.0000, 0.0000, 0.0000) (multiplicity 1)
Cu (0.5000, 0.5000, 0.0000) (multiplicity 1)
Ni (0.0000, 0.5000, 0.5000) (multiplicity 2)
H (0.5000, 0.5000, 0.5000) (multiplicity 1)

Record 4
## FeCuNi2H (PBE-GGA)

Data for crystalline FeCuNi2H at its relaxed geometry.

Output
Offset from the most stable computed form   0.0000 eV per atom
D(E_F)   5.668 states/eV/f.u.

abc: 3.6131 3.6131 3.6666
angles: 90.00 90.00 90.00
Space group P4/mmm (No. 123)
Unique sites:
Fe (0.0000, 0.0000, 0.0000) (multiplicity 1)
Cu (0.5000, 0.5000, 0.0000) (multiplicity 1)
Ni (0.0000, 0.5000, 0.5000) (multiplicity 2)
H (0.0000, 0.0000, 0.5000) (multiplicity 1)

Record 5
## PaFeCuH6 (PBE-GGA)

Data for crystalline PaFeCuH6 at its relaxed geometry.

Output
D(E_F)   3.897 states/eV/f.u.

abc: 4.3576 4.3576 4.1423
angles: 90.00 90.00 120.00
Space group P-6m2 (No. 187)
Unique sites:
Pa (0.0000, 0.0000, 0.0000) (multiplicity 1)
Fe (0.6667, 0.3333, 0.5000) (multiplicity 1)
Cu (0.3333, 0.6667, 0.5000) (multiplicity 1)
H (0.5095, 0.0189, 0.2296) (multiplicity 6)

Record 6
## FeCu2HPd (PBE-GGA)

Data for crystalline FeCu2HPd at its relaxed geometry.

Output
D(E_F)   4.570 states/eV/f.u.

abc: 3.8396 3.8396 3.6663
angles: 90.00 90.00 90.00
Space group P4/mmm (No. 123)
Unique sites:
Fe (0.0000, 0.0000, 0.0000) (multiplicity 1)
Cu (0.0000, 0.5000, 0.5000) (multiplicity 2)
H (0.0000, 0.0000, 0.5000) (multiplicity 1)
Pd (0.5000, 0.5000, 0.0000) (multiplicity 1)

Record 7
## Fe2CuHPd (PBE-GGA)

Data for crystalline Fe2CuHPd at its relaxed geometry.

Output
Offset from the most stable computed form   0.0033 eV per atom
D(E_F)   3.184 states/eV/f.u.

abc: 3.6951 3.6951 3.9245
angles: 90.00 90.00 90.00
Space group P4/mmm (No. 123)
Unique sites:
Fe (0.0000, 0.5000, 0.0000) (multiplicity 2)
Cu (0.0000, 0.0000, 0.5000) (multiplicity 1)
H (0.0000, 0.0000, 0.0000) (multiplicity 1)
Pd (0.5000, 0.5000, 0.5000) (multiplicity 1)

Record 8
## FeCuHPd2 (PBE-GGA)

Data for crystalline FeCuHPd2 at its relaxed geometry.

Output
Offset from the most stable computed form   0.0189 eV per atom
D(E_F)   5.154 states/eV/f.u.

abc: 4.0028 4.0028 3.6714
angles: 90.00 90.00 90.00
Space group P4/mmm (No. 123)
Unique sites:
Fe (0.0000, 0.0000, 0.0000) (multiplicity 1)
Cu (0.5000, 0.5000, 0.0000) (multiplicity 1)
H (0.5000, 0.5000, 0.5000) (multiplicity 1)
Pd (0.0000, 0.5000, 0.5000) (multiplicity 2)

Record 9
## Fe2CuHPd (PBE-GGA)

Data for crystalline Fe2CuHPd at its relaxed geometry.

Output
Offset from the most stable computed form   0.0000 eV per atom
D(E_F)   3.324 states/eV/f.u.

abc: 3.7073 3.7073 3.9442
angles: 90.00 90.00 90.00
Space group P4/mmm (No. 123)
Unique sites:
Fe (0.0000, 0.5000, 0.0000) (multiplicity 2)
Cu (0.0000, 0.0000, 0.5000) (multiplicity 1)
H (0.5000, 0.5000, 0.0000) (multiplicity 1)
Pd (0.5000, 0.5000, 0.5000) (multiplicity 1)

Record 10
## FeCuHPd2 (PBE-GGA)

Data for crystalline FeCuHPd2 at its relaxed geometry.

Output
Offset from the most stable computed form   0.0000 eV per atom
D(E_F)   5.025 states/eV/f.u.

abc: 3.9592 3.9592 3.7330
angles: 90.00 90.00 90.00
Space group P4/mmm (No. 123)
Unique sites:
Fe (0.0000, 0.0000, 0.0000) (multiplicity 1)
Cu (0.5000, 0.5000, 0.0000) (multiplicity 1)
H (0.0000, 0.0000, 0.5000) (multiplicity 1)
Pd (0.0000, 0.5000, 0.5000) (multiplicity 2)

Record 11
## PmFeCuH6 (PBE-GGA)

Data for crystalline PmFeCuH6 at its relaxed geometry.

Output
D(E_F)   6.166 states/eV/f.u.

abc: 4.4655 4.4655 4.2485
angles: 90.00 90.00 120.00
Space group P-6m2 (No. 187)
Unique sites:
Pm (0.0000, 0.0000, 0.0000) (multiplicity 1)
Fe (0.6667, 0.3333, 0.5000) (multiplicity 1)
Cu (0.3333, 0.6667, 0.5000) (multiplicity 1)
H (0.5131, 0.0261, 0.2462) (multiplicity 6)

Record 12
## PrFeCuH6 (PBE-GGA)

Data for crystalline PrFeCuH6 at its relaxed geometry.

Output
D(E_F)   6.351 states/eV/f.u.

abc: 4.5065 4.5065 4.3015
angles: 90.00 90.00 120.00
Space group P-6m2 (No. 187)
Unique sites:
Pr (0.0000, 0.0000, 0.0000) (multiplicity 1)
Fe (0.6667, 0.3333, 0.5000) (multiplicity 1)
Cu (0.3333, 0.6667, 0.5000) (multiplicity 1)
H (0.5132, 0.0263, 0.2517) (multiplicity 6)

Record 13
## FeCu2HPt (PBE-GGA)

Data for crystalline FeCu2HPt at its relaxed geometry.

Output
D(E_F)   3.653 states/eV/f.u.

abc: 3.7929 3.7929 3.7737
angles: 90.00 90.00 90.00
Space group P4/mmm (No. 123)
Unique sites:
Fe (0.0000, 0.0000, 0.0000) (multiplicity 1)
Cu (0.0000, 0.5000, 0.5000) (multiplicity 2)
H (0.0000, 0.0000, 0.5000) (multiplicity 1)
Pt (0.5000, 0.5000, 0.0000) (multiplicity 1)

Record 14
## FeCuHPt2 (PBE-GGA)

Data for crystalline FeCuHPt2 at its relaxed geometry.

Output
Offset from the most stable computed form   0.0000 eV per atom
D(E_F)   4.440 states/eV/f.u.

abc: 3.9454 3.9454 3.8092
angles: 90.00 90.00 90.00
Space group P4/mmm (No. 123)
Unique sites:
Fe (0.0000, 0.0000, 0.0000) (multiplicity 1)
Cu (0.5000, 0.5000, 0.0000) (multiplicity 1)
H (0.0000, 0.0000, 0.5000) (multiplicity 1)
Pt (0.0000, 0.5000, 0.5000) (multiplicity 2)

Record 15
## FeCuHPt2 (PBE-GGA)

Data for crystalline FeCuHPt2 at its relaxed geometry.

Output
Offset from the most stable computed form   0.0040 eV per atom
D(E_F)   4.336 states/eV/f.u.

abc: 3.9829 3.9829 3.7601
angles: 90.00 90.00 90.00
Space group P4/mmm (No. 123)
Unique sites:
Fe (0.0000, 0.0000, 0.0000) (multiplicity 1)
Cu (0.5000, 0.5000, 0.0000) (multiplicity 1)
H (0.5000, 0.5000, 0.5000) (multiplicity 1)
Pt (0.0000, 0.5000, 0.5000) (multiplicity 2)

Record 16
## RbFe2CuH (PBE-GGA)

Data for crystalline RbFe2CuH at its relaxed geometry.

Output
D(E_F)   7.815 states/eV/f.u.

abc: 4.6678 4.6678 4.6530
angles: 90.00 90.00 90.00
Space group P4/mmm (No. 123)
Unique sites:
Rb (0.0000, 0.0000, 0.0000) (multiplicity 1)
Fe (0.0000, 0.5000, 0.5000) (multiplicity 2)
Cu (0.5000, 0.5000, 0.5000) (multiplicity 1)
H (0.5000, 0.5000, 0.0000) (multiplicity 1)

Record 17
## FeCuHRh2 (PBE-GGA)

Data for crystalline FeCuHRh2 at its relaxed geometry.

Output
Offset from the most stable computed form   0.0000 eV per atom
D(E_F)   3.893 states/eV/f.u.

abc: 3.9431 3.9431 3.6259
angles: 90.00 90.00 90.00
Space group P4/mmm (No. 123)
Unique sites:
Fe (0.0000, 0.0000, 0.0000) (multiplicity 1)
Cu (0.5000, 0.5000, 0.0000) (multiplicity 1)
H (0.5000, 0.5000, 0.5000) (multiplicity 1)
Rh (0.0000, 0.5000, 0.5000) (multiplicity 2)

Record 18
## FeCu2HRh (PBE-GGA)

Data for crystalline FeCu2HRh at its relaxed geometry.

Output
Offset from the most stable computed form   0.0440 eV per atom
D(E_F)   2.919 states/eV/f.u.

abc: 3.7044 3.7044 3.8645
angles: 90.00 90.00 90.00
Space group P4/mmm (No. 123)
Unique sites:
Fe (0.0000, 0.0000, 0.0000) (multiplicity 1)
Cu (0.0000, 0.5000, 0.5000) (multiplicity 2)
H (0.0000, 0.0000, 0.5000) (multiplicity 1)
Rh (0.5000, 0.5000, 0.0000) (multiplicity 1)

Record 19
## FeCuH2Rh (PBE-GGA)

Data for crystalline FeCuH2Rh at its relaxed geometry.

Output
D(E_F)   4.406 states/eV/f.u.

abc: 3.4103 3.4103 4.8550
angles: 90.00 90.00 90.00
Space group P4/mmm (No. 123)
Unique sites:
Fe (0.0000, 0.0000, 0.0000) (multiplicity 1)
Cu (0.5000, 0.5000, 0.5000) (multiplicity 1)
H (0.0000, 0.5000, 0.0000) (multiplicity 2)
Rh (0.0000, 0.0000, 0.5000) (multiplicity 1)

Record 20
## FeCuHRh2 (PBE-GGA)

Data for crystalline FeCuHRh2 at its relaxed geometry.

Output
Offset from the most stable computed form   0.0169 eV per atom
D(E_F)   4.368 states/eV/f.u.

abc: 3.8908 3.8908 3.7227
angles: 90.00 90.00 90.00
Space group P4/mmm (No. 123)
Unique sites:
Fe (0.0000, 0.0000, 0.0000) (multiplicity 1)
Cu (0.5000, 0.5000, 0.0000) (multiplicity 1)
H (0.0000, 0.0000, 0.5000) (multiplicity 1)
Rh (0.0000, 0.5000, 0.5000) (multiplicity 2)

Record 21
## FeCu2HRh (PBE-GGA)

Data for crystalline FeCu2HRh at its relaxed geometry.

Output
Offset from the most stable computed form   0.0000 eV per atom
D(E_F)   2.948 states/eV/f.u.

abc: 3.7583 3.7583 3.8182
angles: 90.00 90.00 90.00
Space group P4/mmm (No. 123)
Unique sites:
Fe (0.0000, 0.0000, 0.0000) (multiplicity 1)
Cu (0.0000, 0.5000, 0.5000) (multiplicity 2)
H (0.5000, 0.5000, 0.5000) (multiplicity 1)
Rh (0.5000, 0.5000, 0.0000) (multiplicity 1)

Record 22
## FeCuHRu2 (PBE-GGA)

Data for crystalline FeCuHRu2 at its relaxed geometry.

Output
D(E_F)   5.148 states/eV/f.u.

abc: 3.8442 3.8442 3.7081
angles: 90.00 90.00 90.00
Space group P4/mmm (No. 123)
Unique sites:
Fe (0.0000, 0.0000, 0.0000) (multiplicity 1)
Cu (0.5000, 0.5000, 0.0000) (multiplicity 1)
H (0.0000, 0.0000, 0.5000) (multiplicity 1)
Ru (0.0000, 0.5000, 0.5000) (multiplicity 2)

Record 23
## Fe2CuSiH (PBE-GGA)

Data for crystalline Fe2CuSiH at its relaxed geometry.

Output
D(E_F)   4.815 states/eV/f.u.

abc: 3.6045 3.6045 3.6696
angles: 90.00 90.00 90.00
Space group P4/mmm (No. 123)
Unique sites:
Fe (0.0000, 0.5000, 0.0000) (multiplicity 2)
Cu (0.0000, 0.0000, 0.5000) (multiplicity 1)
Si (0.5000, 0.5000, 0.5000) (multiplicity 1)
H (0.0000, 0.0000, 0.0000) (multiplicity 1)

Record 24
## Ta2FeCuH (PBE-GGA)

Data for crystalline Ta2FeCuH at its relaxed geometry.

Output
Offset from the most stable computed form   0.0453 eV per atom
D(E_F)   4.362 states/eV/f.u.

abc: 4.1198 4.1198 3.6322
angles: 90.00 90.00 90.00
Space group P4/mmm (No. 123)
Unique sites:
Ta (0.0000, 0.5000, 0.0000) (multiplicity 2)
Fe (0.0000, 0.0000, 0.5000) (multiplicity 1)
Cu (0.5000, 0.5000, 0.5000) (multiplicity 1)
H (0.5000, 0.5000, 0.0000) (multiplicity 1)

Record 25
## Ta2FeCuH (PBE-GGA)

Data for crystalline Ta2FeCuH at its relaxed geometry.

Output
Offset from the most stable computed form   0.0000 eV per atom
D(E_F)   4.424 states/eV/f.u.

abc: 4.1379 4.1379 3.5876
angles: 90.00 90.00 90.00
Space group P4/mmm (No. 123)
Unique sites:
Ta (0.0000, 0.5000, 0.0000) (multiplicity 2)
Fe (0.0000, 0.0000, 0.5000) (multiplicity 1)
Cu (0.5000, 0.5000, 0.5000) (multiplicity 1)
H (0.0000, 0.0000, 0.0000) (multiplicity 1)

Record 26
## FeCuTc2H (PBE-GGA)

Data for crystalline FeCuTc2H at its relaxed geometry.

Output
D(E_F)   4.287 states/eV/f.u.

abc: 3.8358 3.8358 3.7628
angles: 90.00 90.00 90.00
Space group P4/mmm (No. 123)
Unique sites:
Fe (0.0000, 0.0000, 0.0000) (multiplicity 1)
Cu (0.5000, 0.5000, 0.0000) (multiplicity 1)
Tc (0.0000, 0.5000, 0.5000) (multiplicity 2)
H (0.0000, 0.0000, 0.5000) (multiplicity 1)

Record 27
## FeCu2TeH (PBE-GGA)

Data for crystalline FeCu2TeH at its relaxed geometry.

Output
D(E_F)   3.662 states/eV/f.u.

abc: 3.9619 3.9619 3.9390
angles: 90.00 90.00 90.00
Space group P4/mmm (No. 123)
Unique sites:
Fe (0.0000, 0.0000, 0.0000) (multiplicity 1)
Cu (0.0000, 0.5000, 0.5000) (multiplicity 2)
Te (0.5000, 0.5000, 0.0000) (multiplicity 1)
H (0.0000, 0.0000, 0.5000) (multiplicity 1)

Record 28
## ThFe2CuH8 (PBE-GGA)

Data for crystalline ThFe2CuH8 at its relaxed geometry.

Output
D(E_F)   5.033 states/eV/f.u.

abc: 4.5286 4.5286 6.4223
angles: 90.00 90.00 120.00
Space group P-3m1 (No. 164)
Unique sites:
Th (0.0000, 0.0000, 0.0000) (multiplicity 1)
Fe (0.3333, 0.6667, 0.3201) (multiplicity 2)
Cu (0.0000, 0.0000, 0.5000) (multiplicity 1)
H (0.1388, 0.2776, 0.3030) (multiplicity 6)
H (0.3333, 0.6667, 0.0710) (multiplicity 2)

Number 1: VASP energy -0.5004 Ry/atom. Number 2: VASP energy -0.5013 Ry/atom. Number 3: VASP energy -0.3976 Ry/atom. Number 4: VASP energy -0.4010 Ry/atom. Number 5: VASP energy -0.3581 Ry/atom. Number 6: VASP energy -0.3628 Ry/atom. Number 7: VASP energy -0.4310 Ry/atom. Number 8: VASP energy -0.3848 Ry/atom. Number 9: VASP energy -0.4313 Ry/atom. Number 10: VASP energy -0.3862 Ry/atom. Number 11: VASP energy -0.3246 Ry/atom. Number 12: VASP energy -0.3250 Ry/atom. Number 13: VASP energy -0.3797 Ry/atom. Number 14: VASP energy -0.4128 Ry/atom. Number 15: VASP energy -0.4125 Ry/atom. Number 16: VASP energy -0.2796 Ry/atom. Number 17: VASP energy -0.4492 Ry/atom. Number 18: VASP energy -0.3924 Ry/atom. Number 19: VASP energy -0.3433 Ry/atom. Number 20: VASP energy -0.4480 Ry/atom. Number 21: VASP energy -0.3957 Ry/atom. Number 22: VASP energy -0.4896 Ry/atom. Number 23: VASP energy -0.4409 Ry/atom. Number 24: VASP energy -0.5775 Ry/atom. Number 25: VASP energy -0.5808 Ry/atom. Number 26: VASP energy -0.5236 Ry/atom. Number 27: VASP energy -0.3176 Ry/atom. Number 28: VASP energy -0.3281 Ry/atom.